Computed, not measured: a crystal of Hf3ReNi relaxed with PBEsol at the SCAN level of DFT.

The structure in CIF format:
```
data_Hf3ReNi
_chemical_formula_sum 'Hf3 Re1 Ni1'
_space_group_name_H-M_alt 'P m -3 m'
_space_group_IT_number 221
_space_group_name_Hall '-P 4 2 3'
_cell_length_a 4.9267
_cell_length_b 4.9267
_cell_length_c 4.9267
_cell_angle_alpha 90.00
_cell_angle_beta 90.00
_cell_angle_gamma 90.00
loop_
_atom_site_label
_atom_site_type_symbol
_atom_site_fract_x
_atom_site_fract_y
_atom_site_fract_z
_atom_site_occupancy
Hf1 Hf 0.0000 0.0000 0.5000 1
Re1 Re 0.0000 0.0000 0.0000 1
Ni1 Ni 0.5000 0.5000 0.5000 1
```

Values from the calculation:
* VASP energy: -1.990 Ha/atom
* size of the total moment: 0.000 μB/atom